# 1
DFT (PBE) results for a relaxed structure of Ba2In3Pb5. Values from VASP.

Results
* symmetry: C2/c, No. 15

The structure in Quantum ESPRESSO input format:
```
&SYSTEM
  ibrav = 0, nat = 20, ntyp = 3
/
ATOMIC_SPECIES
Pb 207.20 Pb.upf
In 114.82 In.upf
Ba 137.33 Ba.upf
ATOMIC_POSITIONS crystal
Pb 0.7500 0.5035 0.4965
Pb 0.1185 0.0227 0.7399
In 0.8764 0.7589 0.4874
Pb 0.0002 0.2478 0.2546
In 0.6236 0.5126 0.2411
Ba 0.3743 0.8758 0.3774
Pb 0.2500 0.4965 0.5035
Pb 0.3815 0.2601 0.9773
Pb 0.9998 0.7522 0.7454
Ba 0.8743 0.3774 0.8758
In 0.7500 0.9957 0.0043
Pb 0.4998 0.7454 0.7522
Ba 0.1257 0.6226 0.1242
In 0.2500 0.0043 0.9957
In 0.1236 0.2411 0.5126
Ba 0.6257 0.1242 0.6226
Pb 0.8815 0.9773 0.2601
In 0.3764 0.4874 0.7589
Pb 0.5002 0.2546 0.2478
Pb 0.6185 0.7399 0.0227
CELL_PARAMETERS angstrom
7.2294 0.1078 0.0923
3.7572 9.9775 -0.3795
3.7572 1.1641 9.9166
```

=====

# 2
DFT (PBE) results for a relaxed structure of BaInPb2. Values from VASP.

Results
* symmetry: C2/m, No. 12

The structure in Quantum ESPRESSO input format:
```
&SYSTEM
  ibrav = 0, nat = 4, ntyp = 3
/
ATOMIC_SPECIES
In 114.82 In.upf
Pb 207.20 Pb.upf
Ba 137.33 Ba.upf
ATOMIC_POSITIONS crystal
In 0.7500 0.7500 0.7500
Pb 0.4882 0.4882 0.5746
Ba 0.2500 0.2500 0.2500
Pb 0.0118 0.0118 0.9254
CELL_PARAMETERS angstrom
-2.6138 3.8563 -3.2833
-4.9873 2.7042 0.5451
1.2074 5.5522 2.4194
```

=====

# 3
DFT (PBE) results for a relaxed structure of BaIn2Pb2. Values from VASP.

Results
* offset from the most stable computed form: 0.069 eV/atom
* symmetry: P4/mbm, No. 127

The structure in Quantum ESPRESSO input format:
```
&SYSTEM
  ibrav = 0, nat = 10, ntyp = 3
/
ATOMIC_SPECIES
In 114.82 In.upf
Pb 207.20 Pb.upf
Ba 137.33 Ba.upf
ATOMIC_POSITIONS crystal
In 0.6225 0.1225 0.0000
Pb 0.1686 0.6686 0.5000
Pb 0.3314 0.1686 0.5000
In 0.3775 0.8775 0.0000
Pb 0.8314 0.3314 0.5000
In 0.1225 0.3775 0.0000
Pb 0.6686 0.8314 0.5000
Ba 0.0000 0.0000 0.0000
Ba 0.5000 0.5000 0.0000
In 0.8775 0.6225 0.0000
CELL_PARAMETERS angstrom
-3.4406 8.4207 0.5385
0.5163 -0.3704 9.0902
3.6301 1.4925 -0.1453
```

=====

# 4
DFT (PBE) results for a relaxed structure of Ba3In8Pb3. Values from VASP.

Results
* symmetry: Immm, No. 71

The structure in Quantum ESPRESSO input format:
```
&SYSTEM
  ibrav = 0, nat = 14, ntyp = 3
/
ATOMIC_SPECIES
In 114.82 In.upf
Pb 207.20 Pb.upf
Ba 137.33 Ba.upf
ATOMIC_POSITIONS crystal
In 0.8334 0.5396 0.7936
Pb 0.0000 0.2120 0.7880
Ba 0.5000 0.5000 0.5000
Ba 0.8134 0.1866 0.1866
In 0.1666 0.2064 0.4604
Pb 0.0000 0.7880 0.2120
In 0.1666 0.4604 0.2064
In 0.6506 0.0801 0.6186
In 0.3494 0.9199 0.3814
Ba 0.1866 0.8134 0.8134
Pb 0.5000 0.0000 0.0000
In 0.3494 0.3814 0.9199
In 0.8334 0.7936 0.5396
In 0.6506 0.6186 0.0801
CELL_PARAMETERS angstrom
-2.4792 -2.8729 -3.3696
6.1583 -7.5491 -1.9165
-2.9457 -7.9683 5.1395
```

=====

# 5
DFT (PBE) results for a relaxed structure of BaInPb4. Values from VASP.

Results
* offset from the most stable computed form: 0.000 eV/atom
* symmetry: F-43m, No. 216

The structure in Quantum ESPRESSO input format:
```
&SYSTEM
  ibrav = 0, nat = 6, ntyp = 3
/
ATOMIC_SPECIES
Ba 137.33 Ba.upf
Pb 207.20 Pb.upf
In 114.82 In.upf
ATOMIC_POSITIONS crystal
Ba 0.2500 0.2500 0.2500
Pb 0.1288 0.6237 0.6237
Pb 0.6237 0.6237 0.6237
Pb 0.6237 0.1288 0.6237
In 0.0000 0.0000 0.0000
Pb 0.6237 0.6237 0.1288
CELL_PARAMETERS angstrom
6.6371 0.0000 0.0000
3.3185 5.7479 0.0000
3.3185 1.9160 5.4192
```

=====

# 6
DFT (PBE) results for a relaxed structure of BaIn2Pb. Values from VASP.

Results
* symmetry: P4mm, No. 99

The structure in Quantum ESPRESSO input format:
```
&SYSTEM
  ibrav = 0, nat = 4, ntyp = 3
/
ATOMIC_SPECIES
In 114.82 In.upf
Ba 137.33 Ba.upf
Pb 207.20 Pb.upf
ATOMIC_POSITIONS crystal
In 0.0000 0.0000 0.0514
Ba 0.5000 0.5000 0.7567
In 0.5000 0.5000 0.2423
Pb 0.0000 0.0000 0.4496
CELL_PARAMETERS angstrom
-1.9885 3.4266 -1.0469
-3.5263 -2.0838 -0.1227
-1.2166 1.6121 7.5877
```

=====

# 7
DFT (PBE) results for a relaxed structure of BaInPb. Values from VASP.

Results
* symmetry: C2/m, No. 12

The structure in Quantum ESPRESSO input format:
```
&SYSTEM
  ibrav = 0, nat = 6, ntyp = 3
/
ATOMIC_SPECIES
In 114.82 In.upf
Ba 137.33 Ba.upf
Pb 207.20 Pb.upf
ATOMIC_POSITIONS crystal
In 0.3493 0.2295 0.0718
In 0.6507 0.7705 0.9282
Ba 0.9467 0.7985 0.3080
Pb 0.3243 0.6320 0.7194
Ba 0.0533 0.2015 0.6920
Pb 0.6757 0.3680 0.2806
CELL_PARAMETERS angstrom
-3.6917 -2.1888 2.7208
1.6051 -0.4264 6.5802
-3.9188 4.9815 3.4356
```

=====

# 8
DFT (PBE) results for a relaxed structure of BaIn3Pb. Values from VASP.

Results
* offset from the most stable computed form: 0.000 eV/atom
* symmetry: P1, No. 1

The structure in Quantum ESPRESSO input format:
```
&SYSTEM
  ibrav = 0, nat = 5, ntyp = 3
/
ATOMIC_SPECIES
Ba 137.33 Ba.upf
In 114.82 In.upf
Pb 207.20 Pb.upf
ATOMIC_POSITIONS crystal
Ba 0.3943 0.1976 0.9113
In 0.7938 0.5980 0.1341
In 0.1816 0.4367 0.3929
Pb 0.0031 0.8057 0.6803
In 0.6350 0.9873 0.3926
CELL_PARAMETERS angstrom
-0.7367 -0.8064 4.8352
3.5026 -3.5130 0.0874
5.6690 3.0525 3.3436
```

=====

# 9
DFT (PBE) results for a relaxed structure of BaIn2Pb. Values from VASP.

Results
* symmetry: I-42d, No. 122

The structure in Quantum ESPRESSO input format:
```
&SYSTEM
  ibrav = 0, nat = 8, ntyp = 3
/
ATOMIC_SPECIES
In 114.82 In.upf
Ba 137.33 Ba.upf
Pb 207.20 Pb.upf
ATOMIC_POSITIONS crystal
In 0.7501 0.1250 0.2500
Ba 0.5000 0.5000 0.0000
Ba 0.2500 0.7500 0.5000
In 0.3750 0.2499 0.7500
In 0.9999 0.6250 0.2500
Pb 0.7500 0.2500 0.5000
In 0.8750 0.0001 0.7500
Pb 0.0000 0.0000 0.0000
CELL_PARAMETERS angstrom
-4.0910 -0.9902 3.1787
1.1253 -5.1507 -0.1563
5.0991 -1.9006 10.3466
```

=====

# 10
DFT (PBE) results for a relaxed structure of Ba4In3Pb. Values from VASP.

Results
* symmetry: Pmm2, No. 25

The structure in Quantum ESPRESSO input format:
```
&SYSTEM
  ibrav = 0, nat = 8, ntyp = 3
/
ATOMIC_SPECIES
Ba 137.33 Ba.upf
In 114.82 In.upf
Pb 207.20 Pb.upf
ATOMIC_POSITIONS crystal
Ba 0.0000 0.0000 0.1394
Ba 0.5000 0.0000 0.6418
Ba 0.5000 0.5000 0.3568
In 0.5000 0.0000 0.9289
Pb 0.5000 0.5000 0.0728
In 0.0000 0.5000 0.5654
In 0.0000 0.0000 0.4339
Ba 0.0000 0.5000 0.8611
CELL_PARAMETERS angstrom
-0.7411 -3.8670 -3.2169
-1.3350 -2.9417 3.8437
-12.6071 3.7018 -1.5457
```

=====

# 11
DFT (PBE) results for a relaxed structure of BaIn2Pb. Values from VASP.

Results
* symmetry: Pnma, No. 62

The structure in Quantum ESPRESSO input format:
```
&SYSTEM
  ibrav = 0, nat = 16, ntyp = 3
/
ATOMIC_SPECIES
Pb 207.20 Pb.upf
Ba 137.33 Ba.upf
In 114.82 In.upf
ATOMIC_POSITIONS crystal
Pb 0.2500 0.1569 0.5634
Ba 0.2500 0.6590 0.6424
In 0.7500 0.8537 0.8683
In 0.2500 0.1463 0.1317
In 0.2500 0.6463 0.3683
Pb 0.7500 0.3431 0.0634
Pb 0.2500 0.6569 0.9366
Pb 0.7500 0.8431 0.4366
Ba 0.2500 0.1590 0.8576
In 0.7500 0.4835 0.8402
Ba 0.7500 0.8410 0.1424
In 0.7500 0.3537 0.6317
In 0.7500 0.9835 0.6598
Ba 0.7500 0.3410 0.3576
In 0.2500 0.0165 0.3402
In 0.2500 0.5165 0.1598
CELL_PARAMETERS angstrom
5.1302 0.0000 0.0000
0.0000 8.2831 0.0000
0.0000 0.0000 13.0130
```

=====

# 12
DFT (PBE) results for a relaxed structure of BaIn2Pb2. Values from VASP.

Results
* offset from the most stable computed form: 0.108 eV/atom
* symmetry: P4/mbm, No. 127

The structure in Quantum ESPRESSO input format:
```
&SYSTEM
  ibrav = 0, nat = 10, ntyp = 3
/
ATOMIC_SPECIES
Pb 207.20 Pb.upf
In 114.82 In.upf
Ba 137.33 Ba.upf
ATOMIC_POSITIONS crystal
Pb 0.8688 0.6312 0.0000
In 0.1583 0.6583 0.5000
Pb 0.6312 0.1312 0.0000
Pb 0.1312 0.3688 0.0000
In 0.6583 0.8417 0.5000
Ba 0.5000 0.5000 0.0000
In 0.3417 0.1583 0.5000
Pb 0.3688 0.8688 0.0000
In 0.8417 0.3417 0.5000
Ba 0.0000 0.0000 0.0000
CELL_PARAMETERS angstrom
-7.0048 5.1023 -3.2225
-4.1934 -0.5649 8.2208
1.8004 3.1902 1.1376
```

=====

Here are the calculated ΔH_f (0 K) numbers, same order: -2.63 -1.24 -1.13 -4.89 -1.14 -1.07 -1.41 -1.43 -0.67 -3.55 -1.39 -0.94 (eV/f.u.).